SmZnCu | GGA-PBE | relaxed

Properties
ΔH_f (0 K)   -255 meV per atom

a = 3.8491 Å, b = 4.1697 Å, c = 8.2654 Å
α = 104.09°, β = 103.06°, γ = 90.97°
Space group P-1 (No. 2)
Unique sites:
Sm1 0.1327 0.3824 0.2664
Zn1 0.4575 0.2076 0.9150
Cu1 0.2960 0.0467 0.5928

***

MgRuPt2 | GGA-PBE | relaxed

Properties
ΔH_f (0 K)   -183 meV per atom

a = 2.7965 Å, b = 4.6722 Å, c = 9.6528 Å
α = 90.00°, β = 90.00°, γ = 90.00°
Space group Imm2 (No. 44)
Unique sites:
Mg1 0.0000 0.0000 0.0000
Ru1 0.0000 0.5000 0.2350
Pt1 0.0000 0.0000 0.5036
Pt2 0.0000 0.5000 0.7544

***

SrThP2S8 | GGA-PBE | relaxed

Properties
Uncorrected formation energy   -12.7 eV/f.u.
Energy above the lowest structure with this stoichiometry   0 meV per atom

a = 11.3426 Å, b = 11.3426 Å, c = 9.7094 Å
α = 90.00°, β = 90.00°, γ = 90.00°
Space group P4_2/mbc (No. 135)
Unique sites:
Sr1 0.0000 0.5000 0.2500
Th1 0.0000 0.0000 0.2500
P1 0.0343 0.2396 0.0000
S1 0.0675 0.7666 0.1752
S2 0.0839 0.8678 0.5000
S3 0.1120 0.3681 0.5000

***

Ca2Ac3Sn3 | GGA-PBE | relaxed

Properties
ΔH_f (0 K)   -672 meV per atom
Energy above the lowest structure with this stoichiometry   0 meV per atom

a = 9.7118 Å, b = 9.7118 Å, c = 6.9983 Å
α = 90.00°, β = 90.00°, γ = 120.00°
Space group P6_3/mcm (No. 193)
Unique sites:
Ca1 0.3333 0.6667 0.0000
Ac1 0.0000 0.2606 0.2500
Sn1 0.0000 0.3910 0.7500

***

Li5SmAu6 | GGA-PBE | relaxed

Properties
ΔH_f (0 K)   -570 meV per atom

a = 4.6400 Å, b = 6.6010 Å, c = 7.3026 Å
α = 90.00°, β = 108.35°, γ = 90.00°
Space group P2/m (No. 10)
Unique sites:
Li1 0.0000 0.0000 0.0000
Li2 0.3239 0.5000 0.6476
Li3 0.3365 0.0000 0.6752
Sm1 0.0000 0.5000 0.0000
Au1 0.1744 0.2312 0.3484
Au2 0.5000 0.2210 0.0000

***

Pm4Pr5Dy | GGA-PBE | relaxed

Properties
ΔH_f (0 K)   229 meV per atom
Energy above the lowest structure with this stoichiometry   215 meV per atom

a = 10.6162 Å, b = 10.6162 Å, c = 6.3071 Å
α = 90.00°, β = 90.00°, γ = 90.00°
Space group I4 (No. 79)
Unique sites:
Pm1 0.0012 0.6747 0.0000
Pr1 0.0000 0.0000 0.2562
Pr2 0.1880 0.8098 0.5326
Dy1 0.0000 0.0000 0.7931